This record from the Alexandria database describes a PBEsol-optimized structure of CaZnRh. The functional is SCAN.

a = 4.3574 Å, b = 4.3574 Å, c = 3.4006 Å
α = 90.00°, β = 90.00°, γ = 120.00°
Positions (direct):
Ca 0.0000 0.0000 0.0000
Zn 0.3333 0.6667 0.5000
Rh 0.6667 0.3333 0.5000

Summary:
- ΔH_f (0 K): -1.23 eV/f.u.
- Magnetization: 0.0 μB/cell
- Symmetry: No. 187